(1)
DyTmGe2Os (GGA-PBE, relaxed); space group = C2/m, No. 12; energy above the most stable polymorph in this dataset = 0.000 eV/atom
1.0
-1.311 5.477 1.221
-4.217 3.680 -1.372
-2.223 -6.734 7.159
Dy Os Tm Ge
2 2 2 4
Direct
0.815 0.815 0.385
0.185 0.185 0.615
0.270 0.270 0.132
0.730 0.730 0.868
0.997 0.997 0.826
0.003 0.003 0.174
0.513 0.513 0.375
0.359 0.359 0.939
0.641 0.641 0.061
0.487 0.487 0.625

***

(2)
DyYGe2Os (GGA-PBE, relaxed); space group = C2/m, No. 12; VASP energy = -7.0111 eV per atom
1.0
-1.961 2.604 4.807
-0.350 -1.296 5.651
9.111 3.040 -3.342
Y Ge Dy Os
2 4 2 2
Direct
0.184 0.184 0.112
0.816 0.816 0.888
0.356 0.356 0.436
0.511 0.511 0.875
0.644 0.644 0.564
0.489 0.489 0.125
0.003 0.003 0.674
0.997 0.997 0.326
0.271 0.271 0.630
0.729 0.729 0.370

***

(3)
DyYGe4Os2 (GGA-PBE, relaxed); space group = Pm, No. 6; VASP energy = -6.9568 eV per atom
1.0
-3.960 0.681 1.957
1.812 -0.830 3.955
3.565 7.542 -0.051
Ge Os Dy Y
4 2 1 1
Direct
0.321 0.000 0.996
0.961 0.000 0.414
0.677 0.500 0.003
0.040 0.500 0.586
0.888 0.000 0.118
0.110 0.500 0.881
0.609 0.000 0.711
0.394 0.500 0.290

***

(4)
DyGePb (GGA-PBE, relaxed); space group = F-43m, No. 216; energy above the most stable polymorph in this dataset = 0.106 eV/atom
1.0
0.000 3.527 3.527
3.527 0.000 3.527
3.527 3.527 0.000
Ge Pb Dy
1 1 1
Direct
0.250 0.250 0.250
0.750 0.750 0.750
0.000 0.000 0.000

***

(5)
DyGePb (GGA-PBE, relaxed); space group = F-43m, No. 216; energy above the most stable polymorph in this dataset = 0.000 eV/atom
1.0
0.857 -4.860 -1.302
-1.238 -3.761 3.220
-3.922 -3.086 -1.068
Pb Dy Ge
1 1 1
Direct
0.750 0.750 0.750
0.250 0.250 0.250
0.000 0.000 0.000

***

(6)
Dy2GePb (GGA-PBE, relaxed); space group = Amm2, No. 38; VASP energy = -4.2628 eV per atom
1.0
-1.620 2.872 0.638
-3.387 -3.245 6.011
1.391 -0.869 7.446
Pb Dy Ge
1 2 1
Direct
0.500 0.940 0.940
0.500 0.333 0.333
0.500 0.588 0.588
0.500 0.139 0.139

***

(7)
DyTmGe2Pb2 (GGA-PBE, relaxed); space group = Amm2, No. 38; VASP energy = -4.7436 eV per atom
1.0
-1.301 -2.030 -3.302
-2.484 -6.481 4.963
-6.004 -3.815 4.711
Tm Ge Pb Dy
1 2 2 1
Direct
0.000 0.410 0.410
0.500 0.945 0.945
0.000 0.053 0.053
0.500 0.238 0.238
0.000 0.764 0.764
0.500 0.590 0.590

***

(8)
DyGe4Pd6 (GGA-PBE, relaxed); space group = P-6m2, No. 187; VASP energy = -5.5994 eV per atom
1.0
-7.251 -1.328 0.570
3.978 -3.383 -5.234
0.731 -2.936 2.453
Pd Ge Dy
6 4 1
Direct
0.198 0.802 0.500
0.535 0.071 0.000
0.198 0.396 0.500
0.929 0.465 0.000
0.535 0.465 0.000
0.604 0.802 0.500
0.811 0.621 0.500
0.379 0.190 0.500
0.810 0.190 0.500
0.333 0.667 0.000
0.000 0.000 0.000

***

(9)
Dy3GePd4 (GGA-PBE, relaxed); space group = Pm, No. 6; VASP energy = -5.6958 eV per atom
1.0
-4.503 2.606 1.056
-1.501 -0.888 -4.210
-2.131 -6.240 2.076
Pd Dy Ge
4 3 1
Direct
0.876 0.000 0.548
0.623 0.000 0.017
0.207 0.500 0.524
0.303 0.500 0.958
0.793 0.500 0.803
0.660 0.500 0.313
0.147 0.000 0.192
0.392 0.000 0.644

***

(10)
Dy6Ge2Pd (GGA-PBE, relaxed); space group = P-62m, No. 189; VASP energy = -5.2714 eV per atom
1.0
-7.849 -0.343 -0.880
4.010 -6.432 2.247
-0.503 1.104 4.058
Dy Ge Pd
6 2 1
Direct
0.741 0.000 0.000
0.000 0.741 0.000
0.000 0.407 0.500
0.593 0.593 0.500
0.407 0.000 0.500
0.259 0.259 0.000
0.667 0.333 0.000
0.333 0.667 0.000
0.000 0.000 0.500

***

(11)
DyGePd2 (GGA-PBE, relaxed); space group = Pmn2_1, No. 31; VASP energy = -5.6613 eV per atom
1.0
-1.341 -2.166 3.605
3.755 -4.360 -1.223
4.092 2.650 3.115
Dy Pd Ge
2 4 2
Direct
0.000 0.404 0.133
0.500 0.596 0.633
0.000 0.257 0.643
0.500 0.165 0.357
0.500 0.743 0.143
0.000 0.835 0.857
0.500 0.113 0.867
0.000 0.887 0.367

***

(12)
DyGePd2 (GGA-PBE, relaxed); space group = Pmc2_1, No. 26; VASP energy = -5.5179 eV per atom
1.0
-2.544 -0.255 2.925
-1.950 -5.684 -2.191
4.364 -2.864 3.546
Ge Pd Dy
2 4 2
Direct
0.500 0.665 0.186
0.500 0.335 0.686
0.500 0.912 0.513
0.000 0.571 0.470
0.000 0.429 0.970
0.500 0.088 0.013
0.000 0.835 0.831
0.000 0.165 0.331

***

(13)
Pr2DyGe3PdPt2 (GGA-PBE, relaxed); space group = Amm2, No. 38; VASP energy = -5.9855 eV per atom
1.0
-3.153 -0.739 2.354
4.460 -0.423 5.842
-2.936 6.480 -1.898
Ge Pd Pr Pt Dy
3 1 2 2 1
Direct
0.500 0.005 0.251
0.500 0.251 0.005
0.500 0.749 0.749
0.000 0.009 0.009
0.000 0.999 0.589
0.000 0.589 0.999
0.500 0.655 0.337
0.500 0.337 0.655
0.000 0.406 0.406

***

(14)
Dy2Ge2Pd3Pt (GGA-PBE, relaxed); space group = P3m1, No. 156; VASP energy = -5.8917 eV per atom
1.0
-0.561 -4.203 -1.131
3.000 2.447 -2.067
6.223 -2.473 6.103
Dy Pt Pd Ge
2 1 3 2
Direct
0.333 0.667 0.248
0.000 0.000 0.750
0.000 0.000 0.082
0.000 0.000 0.419
0.333 0.667 0.581
0.333 0.667 0.914
0.667 0.333 0.503
0.667 0.333 0.004

***

(15)
TbDy2Ge3PdPt2 (GGA-PBE, relaxed); space group = Amm2, No. 38; VASP energy = -6.0173 eV per atom
1.0
-3.354 -1.862 -0.780
3.736 -5.800 -2.224
-1.957 0.614 6.952
Ge Dy Pd Pt Tb
3 2 1 2 1
Direct
0.500 0.745 0.745
0.500 0.000 0.255
0.500 0.255 0.000
0.000 0.594 0.000
0.000 0.000 0.594
0.000 0.999 0.999
0.500 0.333 0.668
0.500 0.668 0.333
0.000 0.406 0.406

***

(16)
DyY2Ge3PdPt2 (GGA-PBE, relaxed); space group = Amm2, No. 38; VASP energy = -6.4246 eV per atom
1.0
3.915 0.000 0.000
0.000 6.274 3.625
0.000 -6.274 3.625
Y Ge Pt Pd Dy
2 3 2 1 1
Direct
0.000 0.000 0.594
0.000 0.594 0.000
0.500 0.744 0.744
0.500 0.256 0.000
0.500 0.000 0.256
0.500 0.665 0.333
0.500 0.333 0.665
0.000 0.001 0.001
0.000 0.406 0.406

***

(17)
Dy2SiGePd (GGA-PBE, relaxed); space group = C2/m, No. 12; VASP energy = -5.8339 eV per atom
1.0
-2.037 -3.853 3.699
1.728 -5.036 2.081
4.380 8.310 4.122
Dy Ge Pd Si
4 2 2 2
Direct
0.999 0.999 0.674
0.001 0.001 0.326
0.184 0.184 0.111
0.816 0.816 0.889
0.526 0.526 0.883
0.474 0.474 0.117
0.271 0.271 0.628
0.729 0.729 0.372
0.631 0.631 0.567
0.369 0.369 0.433

***

(18)
DySiGePd2 (GGA-PBE, relaxed); space group = I4mm, No. 107; VASP energy = -5.8734 eV per atom
1.0
5.825 0.155 -0.535
2.764 5.089 0.840
-4.011 -3.255 2.749
Ge Dy Si Pd
1 1 1 2
Direct
0.614 0.614 0.000
0.999 0.999 0.000
0.377 0.377 0.000
0.255 0.755 0.500
0.755 0.255 0.500

***

(19)
Sm2DyGe4Pd4 (GGA-PBE, relaxed); space group = Immm, No. 71; VASP energy = -5.7204 eV per atom
1.0
-5.321 4.665 4.163
-1.212 7.784 -2.314
-0.389 -8.041 -1.617
Pd Sm Dy Ge
4 2 1 4
Direct
0.375 0.675 0.700
0.976 0.675 0.300
0.625 0.325 0.300
0.024 0.325 0.700
0.374 0.874 0.500
0.626 0.126 0.500
0.000 0.000 0.000
0.783 0.783 0.000
0.691 0.500 0.191
0.309 0.500 0.809
0.217 0.217 0.000

***

(20)
TbDyGe2Pd4 (GGA-PBE, relaxed); space group = P-6m2, No. 187; VASP energy = -5.7411 eV per atom
1.0
-1.835 2.662 -2.979
-1.666 -0.235 4.062
5.472 6.717 2.633
Pd Tb Ge Dy
4 1 2 1
Direct
0.000 0.000 0.331
0.667 0.333 0.168
0.000 0.000 0.669
0.667 0.333 0.832
0.667 0.333 0.500
0.333 0.667 0.249
0.333 0.667 0.751
0.000 0.000 0.000